Run P
Zr4CN2 | PBE | optimized geometry

Summary:
total moment	0.0	μB/f.u.
crystal system	orthorhombic

```
data_Zr4CN2
_chemical_formula_sum 'Zr16 C4 N8'
_space_group_name_H-M_alt 'C m c m'
_space_group_IT_number 63
_space_group_name_Hall '-C 2c 2'
_cell_length_a 3.264
_cell_length_b 10.728
_cell_length_c 11.173
_cell_angle_alpha 90.00
_cell_angle_beta 90.00
_cell_angle_gamma 90.00
loop_
_atom_site_label
_atom_site_type_symbol
_atom_site_fract_x
_atom_site_fract_y
_atom_site_fract_z
Zr1 Zr 0.000 0.000 0.000
Zr2 Zr 0.000 0.277 0.118
Zr3 Zr 0.000 0.449 0.750
C1 C 0.000 0.103 0.750
N1 N 0.000 0.362 0.565
```


Run Q
Zr4CN2 | PBE | optimized geometry

Summary:
total moment	0.0	μB/f.u.
crystal system	monoclinic

```
data_Zr4CN2
_chemical_formula_sum 'Zr8 C2 N4'
_space_group_name_H-M_alt 'C 1 2/m 1'
_space_group_IT_number 12
_cell_length_a 12.179
_cell_length_b 3.294
_cell_length_c 5.642
_cell_angle_alpha 90.00
_cell_angle_beta 116.79
_cell_angle_gamma 90.00
loop_
_space_group_symop_operation_xyz
'x,y,z'
'-x,-y,-z'
'-x,y,-z'
'x,-y,z'
'x+1/2,y+1/2,z'
'-x+1/2,-y+1/2,-z'
'-x+1/2,y+1/2,-z'
'x+1/2,-y+1/2,z'
loop_
_atom_site_label
_atom_site_type_symbol
_atom_site_fract_x
_atom_site_fract_y
_atom_site_fract_z
Zr1 Zr 0.128 0.000 0.473
Zr2 Zr 0.130 0.500 0.957
C1 C 0.000 0.500 0.500
N1 N 0.239 0.000 0.234
```


run Q is the most stable structure shown above.